[1]
## PaCrTcRu (PBE)

Data for a relaxed structure of PaCrTcRu.

Structure (CIF):
```
data_PaCrTcRu
_cell_length_a 4.592
_cell_length_b 4.592
_cell_length_c 4.592
_cell_angle_alpha 60.00
_cell_angle_beta 60.00
_cell_angle_gamma 60.00
_symmetry_space_group_name_H-M 'P 1'
_symmetry_Int_Tables_number 1
loop_
_symmetry_equiv_pos_as_xyz
'x,y,z'
loop_
_atom_site_label
_atom_site_type_symbol
_atom_site_fract_x
_atom_site_fract_y
_atom_site_fract_z
_atom_site_occupancy
Pa1 Pa 0.000 0.000 0.000 1
Cr1 Cr 0.500 0.500 0.500 1
Tc1 Tc 0.250 0.250 0.250 1
Ru1 Ru 0.750 0.750 0.750 1
```

Computed properties:
Its crystal system is cubic. The space-group type is F-43m.

---

[2]
## K2Tl6BiPt (PBE)

Data for a relaxed structure of K2Tl6BiPt.

Structure (CIF):
```
data_K2Tl6BiPt
_cell_length_a 12.836
_cell_length_b 12.836
_cell_length_c 12.836
_cell_angle_alpha 39.52
_cell_angle_beta 39.52
_cell_angle_gamma 39.52
_symmetry_space_group_name_H-M 'P 1'
_symmetry_Int_Tables_number 1
loop_
_symmetry_equiv_pos_as_xyz
'x,y,z'
loop_
_atom_site_label
_atom_site_type_symbol
_atom_site_fract_x
_atom_site_fract_y
_atom_site_fract_z
_atom_site_occupancy
K1 K 0.149 0.149 0.149 1
K2 K 0.279 0.279 0.279 1
K3 K 0.721 0.721 0.721 1
K4 K 0.851 0.851 0.851 1
Tl1 Tl 0.167 0.590 0.590 1
Tl2 Tl 0.186 0.186 0.796 1
Tl3 Tl 0.186 0.796 0.186 1
Tl4 Tl 0.204 0.814 0.814 1
Tl5 Tl 0.410 0.410 0.833 1
Tl6 Tl 0.410 0.833 0.410 1
Tl7 Tl 0.590 0.167 0.590 1
Tl8 Tl 0.590 0.590 0.167 1
Tl9 Tl 0.796 0.186 0.186 1
Tl10 Tl 0.814 0.204 0.814 1
Tl11 Tl 0.814 0.814 0.204 1
Tl12 Tl 0.833 0.410 0.410 1
Bi1 Bi 0.376 0.376 0.376 1
Bi2 Bi 0.624 0.624 0.624 1
Pt1 Pt 0.000 0.000 0.000 1
Pt2 Pt 0.500 0.500 0.500 1
```

Computed properties:
Its crystal system is trigonal. The space-group type is R-3m.

---

Number 1: Fermi-level density of states 1.165 states/eV per atom, formation enthalpy at 0 K -0.0013 eV/atom. Number 2: Fermi-level density of states 0.378 states/eV per atom, formation enthalpy at 0 K -0.0544 eV/atom.